The following is a GGA-PBE calculation of DyFeC2 after structural relaxation, from the Alexandria database.

* ΔH_f (0 K): -103.1 kJ/mol of formula units
* space group: Amm2 (38)

The structure in POSCAR format:
```
DyFeC2
1.0
3.7337 -0.0025 0.0000
-0.9669 3.6063 0.0000
0.0000 0.0000 3.6222
C Dy Fe
2 1 1
Direct
0.4531 0.8562 0.5000
0.1438 0.5469 0.5000
0.0046 0.9954 0.0000
0.6135 0.3865 0.5000
```

The following is a GGA-PBE calculation of Li2CdPtN after structural relaxation, from the Alexandria database.

* formation energy (no corrections): -0.27 eV per atom
* space group: P4/mmm (123)

The structure in POSCAR format:
```
Li2CdPtN
1.0
4.3915 0.0000 0.0000
0.0000 4.3915 0.0000
0.0000 0.0000 3.8259
Cd Pt Li N
1 1 2 1
Direct
0.5000 0.5000 0.5000
0.0000 0.0000 0.5000
0.0000 0.5000 0.0000
0.5000 0.0000 0.0000
0.0000 0.0000 0.0000
```